## SiMo3N (GGA-PBEsol)

Data for crystalline SiMo3N at its relaxed geometry.

Its total energy is -10.2010 eV per atom. The value obtained for the uncorrected formation energy is -285.6 meV per atom. For the density of states at the Fermi level, the calculation gives 2.0 states/eV/f.u. The value obtained for the total magnetization is 0.0 μB per cell. The value obtained for the theoretical density is 8.35 g/cm3.

a = 4.033 Å, b = 4.033 Å, c = 4.033 Å
α = 90.00°, β = 90.00°, γ = 90.00°
Space group Pm-3m (No. 221)
Unique sites:
1 Si 0.000 0.000 0.000 [1 per cell]
2 Mo 0.000 0.500 0.500 [3 per cell]
3 N 0.500 0.500 0.500 [1 per cell]

## KZn2Te (GGA-PBEsol)

Data for crystalline KZn2Te at its relaxed geometry.

Its total energy is -2.0073 eV per atom. The value obtained for the uncorrected formation energy is -51.4 meV per atom. For the density of states at the Fermi level, the calculation gives 1.7 states/eV/f.u. The value obtained for the total magnetization is 0.0 μB per cell. The value obtained for the theoretical density is 4.99 g/cm3.

a = 3.608 Å, b = 3.608 Å, c = 7.606 Å
α = 90.00°, β = 90.00°, γ = 90.00°
Space group P4mm (No. 99)
Unique sites:
1 K 0.000 0.000 0.000 [1 per cell]
2 Zn 0.000 0.000 0.567 [1 per cell]
3 Zn 0.500 0.500 0.673 [1 per cell]
4 Te 0.500 0.500 0.311 [1 per cell]

## CrOsPb2 (GGA-PBEsol)

Data for crystalline CrOsPb2 at its relaxed geometry.

Its total energy is -6.6289 eV per atom. For the density of states at the Fermi level, the calculation gives 5.1 states/eV/f.u. The value obtained for the total magnetization is 6.9 μB per cell. The value obtained for the theoretical density is 14.29 g/cm3. The energy above the most stable polymorph in this dataset is 569.7 meV/atom.

a = 4.055 Å, b = 4.055 Å, c = 9.279 Å
α = 90.00°, β = 90.00°, γ = 90.00°
Space group I-4m2 (No. 119)
Unique sites:
1 Cr 0.000 0.000 0.000 [2 per cell]
2 Os 0.000 0.500 0.250 [2 per cell]
3 Pb 0.000 0.000 0.500 [2 per cell]
4 Pb 0.000 0.500 0.750 [2 per cell]

## Li2AgF4 (GGA-PBEsol)

Data for crystalline Li2AgF4 at its relaxed geometry.

Its total energy is -4.2787 eV per atom. The value obtained for the uncorrected formation energy is -2142.4 meV per atom. For the density of states at the Fermi level, the calculation gives 0.0 states/eV/f.u. The value obtained for the total magnetization is 4.0 μB per cell. The value obtained for the theoretical density is 4.28 g/cm3. The energy above the most stable polymorph in this dataset is 0.0 meV/atom.

a = 11.063 Å, b = 5.799 Å, c = 4.991 Å
α = 90.00°, β = 106.46°, γ = 90.00°
Space group C2/c (No. 15)
Unique sites:
1 Li 0.000 0.118 0.250 [4 per cell]
2 Li 0.000 0.373 0.750 [4 per cell]
3 Ag 0.250 0.250 0.500 [4 per cell]
4 F 0.102 0.127 0.642 [8 per cell]
5 F 0.106 0.376 0.164 [8 per cell]

## Mg2PW (GGA-PBEsol)

Data for crystalline Mg2PW at its relaxed geometry.

Its total energy is -5.4914 eV per atom. For the density of states at the Fermi level, the calculation gives 2.3 states/eV/f.u. The value obtained for the total magnetization is 0.0 μB per cell. The value obtained for the theoretical density is 6.81 g/cm3.

a = 5.201 Å, b = 8.771 Å, c = 2.816 Å
α = 90.00°, β = 90.00°, γ = 90.00°
Space group Cmmm (No. 65)
Unique sites:
1 Mg 0.250 0.250 0.000 [4 per cell]
2 P 0.000 0.000 0.500 [2 per cell]
3 W 0.000 0.500 0.500 [2 per cell]

## Li3In (GGA-PBEsol)

Data for crystalline Li3In at its relaxed geometry.

Its total energy is -2.4736 eV per atom. For the density of states at the Fermi level, the calculation gives 1.4 states/eV/f.u. The value obtained for the total magnetization is 0.0 μB per cell. The value obtained for the theoretical density is 3.19 g/cm3. The energy above the most stable polymorph in this dataset is 6.5 meV/atom.

a = 3.568 Å, b = 4.478 Å, c = 8.838 Å
α = 90.00°, β = 90.00°, γ = 90.00°
Space group Immm (No. 71)
Unique sites:
1 Li 0.000 0.000 0.000 [2 per cell]
2 Li 0.000 0.500 0.258 [4 per cell]
3 In 0.000 0.000 0.500 [2 per cell]